No. 1
An optimized crystal structure of DyTmHf. Source: Alexandria via LeMat-Bulk, functional PBE.

The space group is P4/nmm (No. 129, origin choice 2) and the conventional cell measures 4.613, 4.613 and 8.146 Å, with angles of 90.00, 90.00 and 90.00 degrees. The distinct sites, in fractional coordinates, are Dy at (0.250, 0.250, 0.211), Tm at (0.250, 0.250, 0.783) and Hf at (0.250, 0.750, 0.500).

As for the formation energy: 0.215 eV/atom. The value obtained for the excess energy over the best structure of this formula in the dataset is 106 meV/atom. The value obtained for the density is 9769 kg/m3.

No. 2
An optimized crystal structure of Mg3ZnRh2. Source: Alexandria via LeMat-Bulk, functional PBE.

The space group is Ibam (No. 72) and the conventional cell measures 8.450, 10.344 and 5.396 Å, with angles of 90.00, 90.00 and 90.00 degrees. The distinct sites, in fractional coordinates, are Mg at (0.000, 0.000, 0.250), Mg at (0.216, 0.316, 0.000), Zn at (0.000, 0.500, 0.250) and Rh at (0.240, 0.434, 0.500).

As for the formation energy: -0.227 eV/atom. The value obtained for the excess energy over the best structure of this formula in the dataset is 185 meV/atom. The value obtained for the density is 4847 kg/m3.